Entry from Alexandria via LeMat-Bulk: an optimized crystal structure of Na2CePb3 (GGA-PBE).

abc: 3.4285 3.4285 14.8547
angles: 90.00 90.00 90.00
Fractional positions:
Na (0.0000, 0.0000, 0.1699)
Na (0.0000, 0.0000, 0.8301)
Ce (0.0000, 0.0000, 0.5000)
Pb (0.5000, 0.5000, 0.0000)
Pb (0.5000, 0.5000, 0.3346)
Pb (0.5000, 0.5000, 0.6654)

## Properties
Excess energy over the best structure of this formula in the dataset (eV per atom): 0.000
Raw total energy (eV/atom): -3.50
ΔE_f (meV/atom): -217

---

Entry from Alexandria via LeMat-Bulk: an optimized crystal structure of NaCePb2 (GGA-PBE).

abc: 6.9618 6.9618 6.9618
angles: 41.95 41.95 41.95
Fractional positions:
Na (0.0000, 0.0000, 0.0000)
Ce (0.1884, 0.1884, 0.1884)
Pb (0.5962, 0.5962, 0.5962)
Pb (0.7650, 0.7650, 0.7650)

## Properties
Raw total energy (eV/atom): -3.68
ΔE_f (meV/atom): -8

---

Entry from Alexandria via LeMat-Bulk: an optimized crystal structure of NaCePb (GGA-PBE).

abc: 5.3133 5.3133 5.3133
angles: 60.00 60.00 60.00
Fractional positions:
Na (0.0000, 0.0000, 0.0000)
Ce (0.5000, 0.5000, 0.5000)
Pb (0.2500, 0.2500, 0.2500)

## Properties
Excess energy over the best structure of this formula in the dataset (eV per atom): 0.022
Raw total energy (eV/atom): -3.74
ΔE_f (meV/atom): -84

---

Entry from Alexandria via LeMat-Bulk: an optimized crystal structure of NaCePb2 (GGA-PBE).

abc: 3.4828 3.4828 9.6518
angles: 90.00 90.00 90.00
Fractional positions:
Na (0.0000, 0.0000, 0.0000)
Ce (0.0000, 0.0000, 0.5000)
Pb (0.5000, 0.5000, 0.2499)
Pb (0.5000, 0.5000, 0.7501)

## Properties
Raw total energy (eV/atom): -3.93
ΔE_f (meV/atom): -266

---

Entry from Alexandria via LeMat-Bulk: an optimized crystal structure of NaCe5Pb3 (GGA-PBE).

abc: 9.6737 9.6737 6.6647
angles: 90.00 90.00 120.00
Fractional positions:
Na (0.0000, 0.0000, 0.0000)
Na (0.0000, 0.0000, 0.5000)
Ce (0.0000, 0.3314, 0.2500)
Ce (0.0000, 0.6686, 0.7500)
Ce (0.3314, 0.0000, 0.2500)
Ce (0.3314, 0.3314, 0.7500)
Ce (0.3333, 0.6667, 0.0000)
Ce (0.3333, 0.6667, 0.5000)
Ce (0.6667, 0.3333, 0.0000)
Ce (0.6667, 0.3333, 0.5000)
Ce (0.6686, 0.0000, 0.7500)
Ce (0.6686, 0.6686, 0.2500)
Pb (0.0000, 0.3357, 0.7500)
Pb (0.0000, 0.6643, 0.2500)
Pb (0.3357, 0.0000, 0.7500)
Pb (0.3357, 0.3357, 0.2500)
Pb (0.6643, 0.0000, 0.2500)
Pb (0.6643, 0.6643, 0.7500)

## Properties
Raw total energy (eV/atom): -4.98
ΔE_f (meV/atom): -303

---

Entry from Alexandria via LeMat-Bulk: an optimized crystal structure of NaCe4Pb4 (GGA-PBE).

abc: 9.0578 9.0578 6.7186
angles: 90.00 90.00 90.00
Fractional positions:
Na (0.2500, 0.2500, 0.2500)
Na (0.7500, 0.7500, 0.7500)
Ce (0.0063, 0.6402, 0.0882)
Ce (0.1402, 0.9937, 0.5882)
Ce (0.3598, 0.5063, 0.5882)
Ce (0.4937, 0.8598, 0.0882)
Ce (0.5063, 0.1402, 0.9118)
Ce (0.6402, 0.4937, 0.4118)
Ce (0.8598, 0.0063, 0.4118)
Ce (0.9937, 0.3598, 0.9118)
Pb (0.0325, 0.6561, 0.5807)
Pb (0.1561, 0.9675, 0.0807)
Pb (0.3439, 0.5325, 0.0807)
Pb (0.4675, 0.8439, 0.5807)
Pb (0.5325, 0.1561, 0.4193)
Pb (0.6561, 0.4675, 0.9193)
Pb (0.8439, 0.0325, 0.9193)
Pb (0.9675, 0.3439, 0.4193)

## Properties
Raw total energy (eV/atom): -4.60
ΔE_f (meV/atom): -172

---

What did the fourth record say?
Entry from Alexandria via LeMat-Bulk: an optimized crystal structure of NaCePb2 (GGA-PBE).

abc: 3.4828 3.4828 9.6518
angles: 90.00 90.00 90.00
Fractional positions:
Na (0.0000, 0.0000, 0.0000)
Ce (0.0000, 0.0000, 0.5000)
Pb (0.5000, 0.5000, 0.2499)
Pb (0.5000, 0.5000, 0.7501)

## Properties
Raw total energy (eV/atom): -3.93
ΔE_f (meV/atom): -266

---

Which of these has the highest ΔE_f? number 2

---

Look up the ΔE_f of the sixth one. -172 meV/atom